VASP calculation (PBEsol) on crystalline AlRuPt at its relaxed geometry.

Unit cell a=5.8815 b=5.8815 c=5.8815 alpha=90.00 beta=90.00 gamma=90.00
With the nearest neighbours (Å) after each atom.
Positions (direct):
Al: 0.0000 0.0000 0.0000  4 Pt 2.55
Al: 0.0000 0.5000 0.5000  4 Pt 2.55
Al: 0.5000 0.0000 0.5000  4 Pt 2.55
Al: 0.5000 0.5000 0.0000  4 Pt 2.55
Ru: 0.0000 0.0000 0.5000  4 Pt 2.55
Ru: 0.0000 0.5000 0.0000  4 Pt 2.55
Ru: 0.5000 0.0000 0.0000  4 Pt 2.55
Ru: 0.5000 0.5000 0.5000  4 Pt 2.55
Pt: 0.2500 0.2500 0.7500  4 Ru 2.55, 4 Al 2.55
Pt: 0.2500 0.7500 0.2500  4 Ru 2.55, 4 Al 2.55
Pt: 0.7500 0.2500 0.2500  4 Ru 2.55, 4 Al 2.55
Pt: 0.7500 0.7500 0.7500  4 Ru 2.55, 4 Al 2.55

Summary:
Symmetry: F-43m (216)
Formation energy from the elements in eV/atom: 0.021
Density of states at the Fermi level in states/eV/f.u.: 3.882

---

VASP calculation (PBEsol) on crystalline AlRu2Pt at its relaxed geometry.

Unit cell a=3.8225 b=3.8225 c=7.5460 alpha=90.00 beta=90.00 gamma=90.00
With the nearest neighbours (Å) after each atom.
Positions (direct):
Al: 0.0000 0.0000 0.0000  8 Ru 2.69, 4 Pt 2.70
Al: 0.5000 0.5000 0.5000  8 Ru 2.69, 4 Pt 2.70
Ru: 0.0000 0.5000 0.2500  4 Al 2.69, 4 Pt 2.69, 4 Ru 2.70
Ru: 0.0000 0.5000 0.7500  4 Al 2.69, 4 Pt 2.69, 4 Ru 2.70
Ru: 0.5000 0.0000 0.2500  4 Al 2.69, 4 Pt 2.69, 4 Ru 2.70
Ru: 0.5000 0.0000 0.7500  4 Al 2.69, 4 Pt 2.69, 4 Ru 2.70
Pt: 0.0000 0.0000 0.5000  8 Ru 2.69, 4 Al 2.70
Pt: 0.5000 0.5000 0.0000  8 Ru 2.69, 4 Al 2.70

Summary:
Symmetry: I4/mmm (139)
Formation energy from the elements in eV/atom: -0.251
Density of states at the Fermi level in states/eV/f.u.: 3.591

---

VASP calculation (PBEsol) on crystalline Al2RuPt at its relaxed geometry.

Unit cell a=4.1678 b=4.1678 c=3.1088 alpha=90.00 beta=90.00 gamma=90.00
With the nearest neighbours (Å) after each atom.
Positions (direct):
Al: 0.0000 0.5000 0.0000  4 Ru 2.60, 4 Pt 2.60
Al: 0.5000 0.0000 0.0000  4 Ru 2.60, 4 Pt 2.60
Ru: 0.0000 0.0000 0.5000  8 Al 2.60
Pt: 0.5000 0.5000 0.5000  8 Al 2.60

Summary:
Symmetry: P4/mmm (123)
Formation energy from the elements in eV/atom: -0.927
Density of states at the Fermi level in states/eV/f.u.: 0.543

---

VASP calculation (PBEsol) on crystalline Al2RuPt at its relaxed geometry.

Unit cell a=6.6040 b=6.6040 c=5.6536 alpha=90.00 beta=90.00 gamma=90.00
With the nearest neighbours (Å) after each atom.
Positions (direct):
Al: 0.2452 0.2500 0.1250  2 Pt 2.42, 2 Ru 2.46
Al: 0.2500 0.7452 0.3750  2 Pt 2.42, 2 Ru 2.46
Al: 0.2500 0.7548 0.8750  2 Pt 2.42, 2 Ru 2.46
Al: 0.2548 0.2500 0.6250  2 Pt 2.42, 2 Ru 2.46
Al: 0.7452 0.7500 0.6250  2 Pt 2.42, 2 Ru 2.46
Al: 0.7500 0.2452 0.8750  2 Pt 2.42, 2 Ru 2.46
Al: 0.7500 0.2548 0.3750  2 Pt 2.42, 2 Ru 2.46
Al: 0.7548 0.7500 0.1250  2 Pt 2.42, 2 Ru 2.46
Ru: 0.0000 0.0000 0.5000  4 Al 2.46
Ru: 0.0000 0.5000 0.7500  4 Al 2.46
Ru: 0.5000 0.0000 0.2500  4 Al 2.46
Ru: 0.5000 0.5000 0.0000  4 Al 2.46
Pt: 0.0000 0.0000 0.0000  4 Al 2.42
Pt: 0.0000 0.5000 0.2500  4 Al 2.42
Pt: 0.5000 0.0000 0.7500  4 Al 2.42
Pt: 0.5000 0.5000 0.5000  4 Al 2.42

Summary:
Symmetry: I-42d (122)
Formation energy from the elements in eV/atom: -0.180
Density of states at the Fermi level in states/eV/f.u.: 0.807

---

VASP calculation (PBEsol) on crystalline AlRu2Pt at its relaxed geometry.

Unit cell a=2.7365 b=2.7365 c=25.6552 alpha=90.00 beta=90.00 gamma=120.00
With the nearest neighbours (Å) after each atom.
Positions (direct):
Al: 0.0000 0.0000 0.0000  6 Ru 2.60, 6 Al 2.74
Al: 0.3333 0.6667 0.6667  6 Ru 2.60, 6 Al 2.74
Al: 0.6667 0.3333 0.3333  6 Ru 2.60, 6 Al 2.74
Ru: 0.0000 0.0000 0.2528  3 Al 2.60, 3 Pt 2.72, 6 Ru 2.74
Ru: 0.0000 0.0000 0.7472  3 Al 2.60, 3 Pt 2.72, 6 Ru 2.74
Ru: 0.3333 0.6667 0.4138  3 Al 2.60, 3 Pt 2.72, 6 Ru 2.74
Ru: 0.3333 0.6667 0.9195  3 Al 2.60, 3 Pt 2.72, 6 Ru 2.74
Ru: 0.6667 0.3333 0.0805  3 Al 2.60, 3 Pt 2.72, 6 Ru 2.74
Ru: 0.6667 0.3333 0.5862  3 Al 2.60, 3 Pt 2.72, 6 Ru 2.74
Pt: 0.0000 0.0000 0.5000  6 Ru 2.72, 6 Pt 2.74
Pt: 0.3333 0.6667 0.1667  6 Ru 2.72, 6 Pt 2.74
Pt: 0.6667 0.3333 0.8333  6 Ru 2.72, 6 Pt 2.74

Summary:
Symmetry: R-3m (166)
Formation energy from the elements in eV/atom: -0.107
Density of states at the Fermi level in states/eV/f.u.: 5.057

---

VASP calculation (PBEsol) on crystalline AlRu3Pt at its relaxed geometry.

Unit cell a=4.6620 b=4.6620 c=4.6620 alpha=90.00 beta=90.00 gamma=90.00
With the nearest neighbours (Å) after each atom.
Positions (direct):
Al: 0.0000 0.0000 0.0000  12 Ru 3.30
Ru: 0.0000 0.5000 0.5000  2 Pt 2.33
Ru: 0.5000 0.0000 0.5000  2 Pt 2.33
Ru: 0.5000 0.5000 0.0000  2 Pt 2.33
Pt: 0.5000 0.5000 0.5000  6 Ru 2.33

Summary:
Symmetry: Pm-3m (221)
Formation energy from the elements in eV/atom: 1.957
Density of states at the Fermi level in states/eV/f.u.: 9.743

---

VASP calculation (PBEsol) on crystalline AlPt3S at its relaxed geometry.

Unit cell a=4.4642 b=4.4642 c=4.4642 alpha=90.00 beta=90.00 gamma=90.00
With the nearest neighbours (Å) after each atom.
Positions (direct):
Al: 0.0000 0.0000 0.0000  12 Pt 3.16
Pt: 0.0000 0.5000 0.5000  2 S 2.23
Pt: 0.5000 0.0000 0.5000  2 S 2.23
Pt: 0.5000 0.5000 0.0000  2 S 2.23
S: 0.5000 0.5000 0.5000  6 Pt 2.23

Summary:
Symmetry: Pm-3m (221)
Formation energy without anion corrections in eV/atom: 0.354
Density of states at the Fermi level in states/eV/f.u.: 4.197

---

VASP calculation (PBEsol) on crystalline AlPt3S at its relaxed geometry.

Unit cell a=4.5096 b=4.5096 c=4.5096 alpha=90.00 beta=90.00 gamma=90.00
With the nearest neighbours (Å) after each atom.
Positions (direct):
Al: 0.0000 0.0000 0.0000  6 Pt 2.25
Pt: 0.0000 0.0000 0.5000  2 Al 2.25
Pt: 0.0000 0.5000 0.0000  2 Al 2.25
Pt: 0.5000 0.0000 0.0000  2 Al 2.25
S: 0.5000 0.5000 0.5000  12 Pt 3.19

Summary:
Symmetry: Pm-3m (221)
Formation energy without anion corrections in eV/atom: 0.847
Density of states at the Fermi level in states/eV/f.u.: 4.018

---

Which formula does entry 2 have? AlRu2Pt

---

The lowest density of states at the Fermi level belongs to which entry? number 3